VASP calculation (GGA-PBE) on crystalline Li4SiTcO6 at its relaxed geometry.

```
12
Lattice="4.618 0.779 1.743 -3.302 -2.572 2.730 0.991 -3.383 -3.537" Properties=species:S:1:pos:R:3 pbc="T T T"
Li 0.663 -0.895 2.236
Li 5.045 -0.941 -0.017
Li 2.447 -2.041 0.307
Li -0.100 -3.118 0.625
O -0.107 -2.700 2.869
O 2.662 -1.445 2.289
O 0.391 -1.206 0.195
O 1.676 -4.072 0.771
O 2.600 -2.481 -1.721
O -0.277 -3.614 -1.597
Si 3.295 0.219 1.908
Tc -1.979 -2.013 2.565
```

Computed properties:
- Total energy: -77.9 eV/f.u.
- Magnetic moment: 3.0 μB/f.u.
- Symmetry: C2